Entry 1:
Computed, not measured: a relaxed structure of Ba2TaBr at the PBE-GGA level of DFT.

Lattice parameters (Å, degrees): 5.818 5.818 5.818 60.00 60.00 60.00
Last column: magnetic moment on the atom in μB.
Atoms (fractional coordinates):
1 Ta 0.750 0.750 0.750  2.06
2 Ba 0.000 0.000 0.000  0.31
3 Ba 0.250 0.250 0.250  0.10
4 Br 0.500 0.500 0.500  0.03

Output
Size of the total moment = 4.44 μB per cell
Raw formation energy = 16.4 kcal/mol of atoms
DOS(E_F) = 4.22 states/eV/cell
Distance to the lowest polymorph of the same formula = 598 meV per atom


Entry 2:
Computed, not measured: a relaxed structure of Ce4P2Cl5 at the PBE-GGA level of DFT.

Lattice parameters (Å, degrees): 3.782 6.953 13.146 105.33 98.27 90.00
Last column: magnetic moment on the atom in μB.
Atoms (fractional coordinates):
1 Cl 0.888 0.642 0.776  -0.01
2 Cl 0.112 0.865 0.224  -0.01
3 Cl 0.888 0.135 0.776  -0.01
4 Cl 0.500 0.000 0.000  -0.01
5 Cl 0.112 0.358 0.224  -0.01
6 Ce 0.000 0.314 0.000  0.96
7 Ce 0.343 0.343 0.686  0.71
8 Ce 0.000 0.686 0.000  0.96
9 Ce 0.657 0.657 0.314  0.71
10 P 0.762 0.762 0.523  0.05
11 P 0.238 0.238 0.477  0.05

Output
Size of the total moment = 3.91 μB per cell
Raw formation energy = -21.9 kcal/mol of atoms
DOS(E_F) = 20.19 states/eV/cell